Entry 1:
The following is a DFT calculation (GGA-PBE) of a relaxed structure of Rb5Hg6.

Structure (POSCAR):
```
Rb5Hg6
1.0
-3.870 2.531 2.174
-3.454 -3.070 -2.575
1.832 -10.038 14.945
Rb Hg
5 6
Cartesian
0.080 -8.862 10.458
-1.703 -4.246 1.913
0.000 0.000 0.000
-1.894 -3.270 6.440
-3.598 -7.307 8.105
-1.916 -0.792 3.516
0.057 -6.325 7.465
-1.839 -9.324 13.584
-3.653 -1.253 0.961
-1.680 -6.782 4.906
-3.576 -9.784 11.029
```

E_form	-0.243	eV per atom
calculated total energy	-9.3	eV per cell

---

Entry 2:
The following is a DFT calculation (GGA-PBE) of a relaxed structure of BiB2Pd8.

Structure (POSCAR):
```
BiB2Pd8
1.0
4.356 0.457 0.000
0.741 7.134 0.000
0.371 3.567 5.290
Pd Bi B
8 1 2
Cartesian
4.490 5.410 3.849
2.549 3.795 2.528
2.919 7.362 2.762
1.349 9.315 3.849
4.119 1.843 1.442
1.534 2.951 0.000
0.978 5.748 1.442
3.563 4.640 0.000
2.178 0.228 0.000
0.371 3.567 1.871
0.741 7.134 3.420
```

E_form	-0.162	eV per atom
calculated total energy	-60.6	eV per cell

---

Entry 3:
The following is a DFT calculation (GGA-PBE) of a relaxed structure of NiSbPdI2.

Structure (POSCAR):
```
NiSbPdI2
1.0
-1.177 0.000 5.379
-0.619 -5.469 -0.136
5.040 -0.597 1.103
Sb I Ni Pd
1 2 1 1
Cartesian
2.520 -0.299 0.551
-0.309 -2.735 -0.068
-0.588 0.000 2.689
1.622 -3.034 3.173
0.000 0.000 0.000
```

energy relative to the lowest polymorph listed for this composition	0.247	eV/atom
calculated total energy	-14.3	eV per cell